The following is a DFT calculation (PBE-GGA) of a relaxed La6P2CCl3 crystal.

* ΔE_f (raw): -1.48 eV per atom
* DOS at the Fermi energy: 0.3554 states/eV/atom
* space-group type: C2/m (12)

Unit cell a=4.077 b=8.653 c=9.519 alpha=106.01 beta=102.36 gamma=90.00
Element x y z (fractional)
La 0.353 0.912 0.706
La 0.672 0.565 0.345
La 0.647 0.088 0.294
La 0.004 0.207 0.007
La 0.996 0.793 0.993
La 0.328 0.435 0.655
P 0.835 0.670 0.670
P 0.165 0.330 0.330
C 0.500 0.000 0.000
Cl 0.500 0.500 0.000
Cl 0.831 0.166 0.663
Cl 0.169 0.834 0.337